# LaZn4Cu2 (PBE, optimized geometry)
data_LaZn4Cu2
_chemical_formula_sum 'La1 Zn4 Cu2'
_space_group_name_H-M_alt 'P 1'
_space_group_IT_number 1
_cell_length_a 5.1679
_cell_length_b 5.3975
_cell_length_c 5.3976
_cell_angle_alpha 77.16
_cell_angle_beta 61.76
_cell_angle_gamma 61.76
loop_
_space_group_symop_operation_xyz
'x,y,z'
loop_
_atom_site_label
_atom_site_type_symbol
_atom_site_fract_x
_atom_site_fract_y
_atom_site_fract_z
_atom_site_occupancy
Zn1 Zn 0.3083 0.0002 0.3834 1
La1 La 0.0000 0.0000 0.0000 1
Zn2 Zn 0.6917 0.6167 0.9998 1
Cu1 Cu 0.7505 0.4994 0.4994 1
Cu2 Cu 0.2494 0.5006 0.5006 1
Zn3 Zn 0.3083 0.3833 0.0002 1
Zn4 Zn 0.6917 0.9998 0.6166 1
# * total DFT energy (no corrections): -2.8067 eV per atom
# * DFT formation energy: -0.2045 eV/atom
# * size of the total moment: 0.000 μB per atom
# * SG: C2/m (12)